(1)
The following is a PBE calculation of a geometry-optimized Y2TiGe2 structure, from Alexandria via LeMat-Bulk.

Output
- DOS(E_F) (states/eV/atom) = 0.76
- formation energy (meV/atom) = -725
- total moment (μB per formula unit) = 1.82
- density (g cm⁻³) = 5.61
- VASP energy (eV/cell) = -67.36

Cell lengths 7.169, 7.169, 4.269 Å; angles 90.00, 90.00, 90.00 degrees
Each line ends with the local moment (μB).
Fractional positions:
1 Y 0.176 0.676 0.500  0.10
2 Y 0.676 0.824 0.500  0.09
3 Y 0.824 0.324 0.500  0.10
4 Y 0.324 0.176 0.500  0.09
5 Ge 0.371 0.871 0.000  -0.01
6 Ge 0.871 0.629 0.000  -0.01
7 Ge 0.629 0.129 0.000  -0.01
8 Ge 0.129 0.371 0.000  -0.01
9 Ti 0.000 0.000 0.000  1.12
10 Ti 0.500 0.500 0.000  1.12


(2)
The following is a PBE calculation of a geometry-optimized YTiGe2 structure, from Alexandria via LeMat-Bulk.

Output
- DOS(E_F) (states/eV/atom) = 0.50
- formation energy (meV/atom) = -606
- total moment (μB per formula unit) = 0.00
- density (g cm⁻³) = 5.66
- VASP energy (eV/cell) = -26.02

Cell lengths 4.181, 4.181, 5.978 Å; angles 69.53, 69.53, 60.00 degrees
Fractional positions:
1 Y 0.500 0.500 0.500
2 Ge 0.267 0.267 0.198
3 Ge 0.733 0.733 0.802
4 Ti 0.000 0.000 0.000


(3)
The following is a PBE calculation of a geometry-optimized YTiGe3 structure, from Alexandria via LeMat-Bulk.

Output
- DOS(E_F) (states/eV/atom) = 2.05
- formation energy (meV/atom) = 999
- total moment (μB per formula unit) = 0.03
- density (g cm⁻³) = 4.09
- VASP energy (eV/cell) = -23.22

Cell lengths 5.240, 5.240, 5.240 Å; angles 90.00, 90.00, 90.00 degrees
Each line ends with the local moment (μB).
Fractional positions:
1 Y 0.000 0.000 0.000  0.06
2 Ge 0.000 0.500 0.000  0.04
3 Ge 0.000 0.000 0.500  0.04
4 Ge 0.500 0.000 0.000  0.03
5 Ti 0.500 0.500 0.500  -0.23


(4)
The following is a PBE calculation of a geometry-optimized YTi2Ge2 structure, from Alexandria via LeMat-Bulk.

Output
- DOS(E_F) (states/eV/atom) = 1.08
- formation energy (meV/atom) = -523
- total moment (μB per formula unit) = 0.00
- density (g cm⁻³) = 5.89
- VASP energy (eV/cell) = -68.21

Cell lengths 7.332, 7.332, 3.459 Å; angles 90.00, 90.00, 90.00 degrees
Fractional positions:
1 Y 0.000 0.000 0.000
2 Y 0.500 0.500 0.000
3 Ge 0.373 0.873 0.000
4 Ge 0.873 0.627 0.000
5 Ge 0.627 0.127 0.000
6 Ge 0.127 0.373 0.000
7 Ti 0.166 0.666 0.500
8 Ti 0.666 0.834 0.500
9 Ti 0.834 0.334 0.500
10 Ti 0.334 0.166 0.500


(5)
The following is a PBE calculation of a geometry-optimized YTi2Ge2 structure, from Alexandria via LeMat-Bulk.

Output
- DOS(E_F) (states/eV/atom) = 0.81
- formation energy (meV/atom) = -400
- total moment (μB per formula unit) = 0.63
- density (g cm⁻³) = 5.98
- VASP energy (eV/cell) = -66.98

Cell lengths 7.912, 7.912, 2.927 Å; angles 90.00, 90.00, 90.00 degrees
Each line ends with the local moment (μB).
Fractional positions:
1 Y 0.000 0.000 0.000  0.16
2 Y 0.500 0.500 0.000  0.16
3 Ge 0.176 0.676 0.500  -0.01
4 Ge 0.676 0.824 0.500  -0.01
5 Ge 0.824 0.324 0.500  -0.01
6 Ge 0.324 0.176 0.500  -0.01
7 Ti 0.382 0.882 0.000  0.19
8 Ti 0.882 0.618 0.000  0.19
9 Ti 0.618 0.118 0.000  0.19
10 Ti 0.118 0.382 0.000  0.19


(6)
The following is a PBE calculation of a geometry-optimized YTiGe2 structure, from Alexandria via LeMat-Bulk.

Output
- DOS(E_F) (states/eV/atom) = 0.71
- formation energy (meV/atom) = -357
- total moment (μB per formula unit) = 1.97
- density (g cm⁻³) = 5.92
- VASP energy (eV/cell) = -25.02

Cell lengths 4.820, 4.820, 4.820 Å; angles 60.00, 60.00, 60.00 degrees
Each line ends with the local moment (μB).
Fractional positions:
1 Y 0.500 0.500 0.500  -0.14
2 Ge 0.250 0.250 0.250  -0.03
3 Ge 0.750 0.750 0.750  -0.03
4 Ti 0.000 0.000 0.000  -1.26


(7)
The following is a PBE calculation of a geometry-optimized YTi2Ge2 structure, from Alexandria via LeMat-Bulk.

Output
- DOS(E_F) (states/eV/atom) = 0.94
- formation energy (meV/atom) = -259
- total moment (μB per formula unit) = 2.43
- density (g cm⁻³) = 5.25
- VASP energy (eV/cell) = -32.78

Cell lengths 4.855, 4.855, 5.605 Å; angles 64.33, 64.33, 90.00 degrees
Each line ends with the local moment (μB).
Fractional positions:
1 Y 0.000 0.000 0.000  0.23
2 Ge 0.750 0.250 0.500  -0.03
3 Ge 0.250 0.750 0.500  -0.03
4 Ti 0.343 0.343 0.315  0.76
5 Ti 0.657 0.657 0.685  0.76


(8)
The following is a PBE calculation of a geometry-optimized YTi2Ge2 structure, from Alexandria via LeMat-Bulk.

Output
- DOS(E_F) (states/eV/atom) = 0.91
- formation energy (meV/atom) = -678
- total moment (μB per formula unit) = 0.00
- density (g cm⁻³) = 5.67
- VASP energy (eV/cell) = -34.88

Cell lengths 4.049, 4.049, 6.552 Å; angles 72.00, 72.00, 90.00 degrees
Fractional positions:
1 Y 0.000 0.000 0.000
2 Ge 0.392 0.392 0.216
3 Ge 0.608 0.608 0.784
4 Ti 0.750 0.250 0.500
5 Ti 0.250 0.750 0.500


(9)
The following is a PBE calculation of a geometry-optimized YZrTiGe2 structure, from Alexandria via LeMat-Bulk.

Output
- DOS(E_F) (states/eV/atom) = 1.28
- formation energy (meV/atom) = 1244
- total moment (μB per formula unit) = 0.00
- density (g cm⁻³) = 4.49
- VASP energy (eV/cell) = -25.92

Cell lengths 5.204, 5.095, 5.204 Å; angles 90.00, 90.00, 90.00 degrees
Fractional positions:
1 Y 0.000 0.000 0.000
2 Ge 0.000 0.000 0.500
3 Ge 0.500 0.000 0.000
4 Zr 0.000 0.500 0.000
5 Ti 0.500 0.500 0.500


(10)
The following is a PBE calculation of a geometry-optimized Ti6ZnGe3 structure, from Alexandria via LeMat-Bulk.

Output
- DOS(E_F) (states/eV/atom) = 1.20
- formation energy (meV/atom) = -509
- total moment (μB per formula unit) = 0.00
- density (g cm⁻³) = 5.84
- VASP energy (eV/cell) = -135.17

Cell lengths 6.896, 6.861, 6.861 Å; angles 89.33, 90.00, 90.00 degrees
Fractional positions:
1 Ti 0.149 0.674 0.674
2 Ti 0.649 0.674 0.674
3 Ti 0.398 0.498 0.998
4 Ti 0.898 0.998 0.498
5 Ti 0.150 0.169 0.831
6 Ti 0.647 0.169 0.831
7 Ti 0.147 0.831 0.169
8 Ti 0.650 0.831 0.169
9 Ti 0.398 0.002 0.502
10 Ti 0.898 0.502 0.002
11 Ti 0.149 0.326 0.326
12 Ti 0.649 0.326 0.326
13 Zn 0.899 0.368 0.632
14 Zn 0.399 0.632 0.368
15 Ge 0.399 0.867 0.869
16 Ge 0.899 0.869 0.867
17 Ge 0.399 0.373 0.627
18 Ge 0.899 0.627 0.373
19 Ge 0.899 0.133 0.131
20 Ge 0.399 0.131 0.133


(11)
The following is a PBE calculation of a geometry-optimized TiZnGe structure, from Alexandria via LeMat-Bulk.

Output
- DOS(E_F) (states/eV/atom) = 0.65
- formation energy (meV/atom) = 12
- total moment (μB per formula unit) = 0.00
- density (g cm⁻³) = 6.02
- VASP energy (eV/cell) = -27.50

Cell lengths 4.382, 4.383, 6.666 Å; angles 70.76, 70.77, 60.00 degrees
Fractional positions:
1 Ti 0.456 0.077 0.713
2 Ti 0.605 0.226 0.264
3 Zn 0.320 0.941 0.120
4 Zn 0.026 0.647 0.001
5 Ge 0.866 0.487 0.482
6 Ge 0.180 0.801 0.541


(12)
The following is a PBE calculation of a geometry-optimized TiZnGe3 structure, from Alexandria via LeMat-Bulk.

Output
- DOS(E_F) (states/eV/atom) = 1.47
- formation energy (meV/atom) = 778
- total moment (μB per formula unit) = 0.00
- density (g cm⁻³) = 5.12
- VASP energy (eV/cell) = -19.13

Cell lengths 4.752, 4.752, 4.752 Å; angles 90.00, 90.00, 90.00 degrees
Fractional positions:
1 Ge 0.000 0.500 0.000
2 Ge 0.000 0.000 0.500
3 Ge 0.500 0.000 0.000
4 Zn 0.000 0.000 0.000
5 Ti 0.500 0.500 0.500


(13)
The following is a PBE calculation of a geometry-optimized Ti2ZnGe structure, from Alexandria via LeMat-Bulk.

Output
- DOS(E_F) (states/eV/atom) = 0.64
- formation energy (meV/atom) = -331
- total moment (μB per formula unit) = 0.00
- density (g cm⁻³) = 6.15
- VASP energy (eV/cell) = -23.00

Cell lengths 3.368, 3.368, 5.565 Å; angles 90.00, 90.00, 90.00 degrees
Fractional positions:
1 Ge 0.500 0.500 0.000
2 Zn 0.500 0.500 0.500
3 Ti 0.000 0.000 0.760
4 Ti 0.000 0.000 0.240


(14)
The following is a PBE calculation of a geometry-optimized Ti2ZnGe structure, from Alexandria via LeMat-Bulk.

Output
- DOS(E_F) (states/eV/atom) = 1.01
- formation energy (meV/atom) = -60
- total moment (μB per formula unit) = 0.00
- density (g cm⁻³) = 5.73
- VASP energy (eV/cell) = -43.84

Cell lengths 7.048, 7.048, 5.681 Å; angles 51.66, 51.66, 90.00 degrees
Fractional positions:
1 Ge 0.000 0.000 0.000
2 Ge 0.750 0.250 0.500
3 Zn 0.500 0.500 0.000
4 Zn 0.250 0.750 0.500
5 Ti 0.629 0.125 0.250
6 Ti 0.121 0.625 0.250
7 Ti 0.375 0.371 0.750
8 Ti 0.875 0.879 0.750


(15)
The following is a PBE calculation of a geometry-optimized TiZn3Ge structure, from Alexandria via LeMat-Bulk.

Output
- DOS(E_F) (states/eV/atom) = 0.80
- formation energy (meV/atom) = 960
- total moment (μB per formula unit) = 1.24
- density (g cm⁻³) = 4.38
- VASP energy (eV/cell) = -11.53

Cell lengths 4.935, 4.935, 4.935 Å; angles 90.00, 90.00, 90.00 degrees
Each line ends with the local moment (μB).
Fractional positions:
1 Ge 0.500 0.500 0.500  -0.05
2 Zn 0.000 0.500 0.000  0.03
3 Zn 0.000 0.000 0.500  0.01
4 Zn 0.500 0.000 0.000  0.10
5 Ti 0.000 0.000 0.000  1.00


(16)
The following is a PBE calculation of a geometry-optimized Ti2ZnGe structure, from Alexandria via LeMat-Bulk.

Output
- DOS(E_F) (states/eV/atom) = 0.69
- formation energy (meV/atom) = -397
- total moment (μB per formula unit) = 0.00
- density (g cm⁻³) = 6.28
- VASP energy (eV/cell) = -23.27

Cell lengths 3.913, 3.975, 3.975 Å; angles 90.00, 90.00, 90.00 degrees
Fractional positions:
1 Ge 0.500 0.000 0.000
2 Zn 0.500 0.500 0.500
3 Ti 0.000 0.000 0.500
4 Ti 0.000 0.500 0.000


(17)
The following is a PBE calculation of a geometry-optimized TiZn2Ge2 structure, from Alexandria via LeMat-Bulk.

Output
- DOS(E_F) (states/eV/atom) = 0.54
- formation energy (meV/atom) = 37
- total moment (μB per formula unit) = 0.00
- density (g cm⁻³) = 6.36
- VASP energy (eV/cell) = -38.99

Cell lengths 7.067, 7.067, 3.388 Å; angles 90.00, 90.00, 90.00 degrees
Fractional positions:
1 Ge 0.342 0.842 0.000
2 Ge 0.842 0.658 0.000
3 Ge 0.658 0.158 0.000
4 Ge 0.158 0.342 0.000
5 Zn 0.143 0.643 0.500
6 Zn 0.643 0.857 0.500
7 Zn 0.857 0.357 0.500
8 Zn 0.357 0.143 0.500
9 Ti 0.000 0.000 0.000
10 Ti 0.500 0.500 0.000


(18)
The following is a PBE calculation of a geometry-optimized TiZnGe structure, from Alexandria via LeMat-Bulk.

Output
- DOS(E_F) (states/eV/atom) = 0.96
- formation energy (meV/atom) = 13
- total moment (μB per formula unit) = 0.00
- density (g cm⁻³) = 6.15
- VASP energy (eV/cell) = -13.75

Cell lengths 3.599, 3.599, 4.635 Å; angles 112.85, 112.85, 90.00 degrees
Fractional positions:
1 Ge 0.623 0.623 0.247
2 Zn 0.945 0.945 0.889
3 Ti 0.282 0.282 0.564


(19)
The following is a PBE calculation of a geometry-optimized TiZnGe structure, from Alexandria via LeMat-Bulk.

Output
- DOS(E_F) (states/eV/atom) = 0.54
- formation energy (meV/atom) = -296
- total moment (μB per formula unit) = 0.00
- density (g cm⁻³) = 6.57
- VASP energy (eV/cell) = -29.35

Cell lengths 3.705, 5.040, 5.756 Å; angles 108.54, 90.00, 111.57 degrees
Fractional positions:
1 Zn 0.683 0.365 0.334
2 Zn 0.317 0.635 0.666
3 Ge 0.000 0.000 0.500
4 Ge 0.000 0.000 0.000
5 Ti 0.357 0.714 0.176
6 Ti 0.643 0.286 0.824


(20)
The following is a PBE calculation of a geometry-optimized TiZn2Ge2 structure, from Alexandria via LeMat-Bulk.

Output
- DOS(E_F) (states/eV/atom) = 0.75
- formation energy (meV/atom) = 72
- total moment (μB per formula unit) = 0.00
- density (g cm⁻³) = 6.29
- VASP energy (eV/cell) = -19.32

Cell lengths 3.588, 3.588, 7.112 Å; angles 75.39, 75.39, 90.00 degrees
Fractional positions:
1 Ge 0.403 0.403 0.194
2 Ge 0.597 0.597 0.806
3 Zn 0.750 0.250 0.500
4 Zn 0.250 0.750 0.500
5 Ti 0.000 0.000 0.000